No. 1
## BaBr2N2 (PBE)

Data for crystalline BaBr2N2 at its relaxed geometry.

a = 8.922 Å, b = 5.168 Å, c = 7.793 Å
α = 90.00°, β = 90.42°, γ = 90.00°
Space group C2/m (No. 12)
Inequivalent atoms, fractional coordinates:
Ba1 0.000 0.000 0.000 [2 per cell]
Br1 0.165 0.500 0.820 [4 per cell]
N1 0.000 0.000 0.429 [4 per cell]

## Properties
The calculation puts the density of states at the Fermi level at 0.000 states/eV/atom. The uncorrected formation energy is -626 kJ/mol of formula units. For the spin magnetization, the calculation gives 0.00 μB/atom.

---

No. 2
## BaBr3N (PBE)

Data for crystalline BaBr3N at its relaxed geometry.

a = 8.528 Å, b = 9.685 Å, c = 18.799 Å
α = 90.00°, β = 90.00°, γ = 90.00°
Space group Fmmm (No. 69)
Inequivalent atoms, fractional coordinates:
Ba1 0.250 0.250 0.250 [8 per cell]
Br1 0.000 0.000 0.189 [8 per cell]
Br2 0.000 0.151 0.376 [16 per cell]
N1 0.214 0.000 0.000 [8 per cell]

## Properties
The calculation puts the density of states at the Fermi level at 0.011 states/eV/atom. For the excess energy over the best structure of this formula in the dataset, the calculation gives 0.2164 eV/atom. The uncorrected formation energy is -56 kJ/mol of formula units. For the spin magnetization, the calculation gives 0.80 μB/atom.

---

No. 3
## Ba4Br3N2 (PBE)

Data for crystalline Ba4Br3N2 at its relaxed geometry.

a = 15.888 Å, b = 4.042 Å, c = 9.552 Å
α = 90.00°, β = 101.75°, γ = 90.00°
Space group C2/m (No. 12)
Inequivalent atoms, fractional coordinates:
Ba1 0.092 0.000 0.202 [4 per cell]
Ba2 0.180 0.500 0.606 [4 per cell]
Br1 0.000 0.000 0.500 [2 per cell]
Br2 0.093 0.500 0.905 [4 per cell]
N1 0.191 0.500 0.341 [4 per cell]

## Properties
The calculation puts the density of states at the Fermi level at 0.532 states/eV/atom. For the excess energy over the best structure of this formula in the dataset, the calculation gives 0.0407 eV/atom. The uncorrected formation energy is -1074 kJ/mol of formula units. For the spin magnetization, the calculation gives 0.11 μB/atom.

---

No. 4
## Ba4Br3N (PBE)

Data for crystalline Ba4Br3N at its relaxed geometry.

a = 11.086 Å, b = 9.103 Å, c = 6.741 Å
α = 90.00°, β = 90.00°, γ = 90.00°
Space group Pmn2_1 (No. 31)
Inequivalent atoms, fractional coordinates:
Ba1 0.000 0.117 0.000 [2 per cell]
Ba2 0.000 0.860 0.525 [2 per cell]
Ba3 0.203 0.734 0.986 [4 per cell]
Br1 0.000 0.224 0.508 [2 per cell]
Br2 0.247 0.641 0.489 [4 per cell]
N1 0.000 0.846 0.899 [2 per cell]

## Properties
The calculation puts the density of states at the Fermi level at 0.305 states/eV/atom. The uncorrected formation energy is -1068 kJ/mol of formula units. For the spin magnetization, the calculation gives 0.21 μB/atom.

---

No. 5
## BaBrN4 (PBE)

Data for crystalline BaBrN4 at its relaxed geometry.

a = 6.645 Å, b = 15.206 Å, c = 5.625 Å
α = 90.00°, β = 97.50°, γ = 90.00°
Space group C2/c (No. 15)
Inequivalent atoms, fractional coordinates:
Ba1 0.000 0.155 0.250 [4 per cell]
Br1 0.000 0.364 0.750 [4 per cell]
N1 0.213 0.015 0.945 [8 per cell]
N2 0.224 0.191 0.732 [8 per cell]

## Properties
The calculation puts the density of states at the Fermi level at 0.359 states/eV/atom. The uncorrected formation energy is 1447 kJ/mol of formula units. For the spin magnetization, the calculation gives 1.83 μB/atom.

---

No. 6
## Ba2BrN (PBE)

Data for crystalline Ba2BrN at its relaxed geometry.

a = 7.545 Å, b = 7.545 Å, c = 7.545 Å
α = 90.00°, β = 90.00°, γ = 90.00°
Space group Fm-3m (No. 225)
Inequivalent atoms, fractional coordinates:
Ba1 0.250 0.250 0.250 [8 per cell]
Br1 0.000 0.000 0.000 [4 per cell]
N1 0.000 0.000 0.500 [4 per cell]

## Properties
The calculation puts the density of states at the Fermi level at 0.000 states/eV/atom. The uncorrected formation energy is -239 kJ/mol of formula units. For the spin magnetization, the calculation gives 0.00 μB/atom.

---

No. 7
## Ba4BrN (PBE)

Data for crystalline Ba4BrN at its relaxed geometry.

a = 9.513 Å, b = 20.686 Å, c = 7.436 Å
α = 90.00°, β = 128.52°, γ = 90.00°
Space group C2/c (No. 15)
Inequivalent atoms, fractional coordinates:
Ba1 0.212 0.067 0.146 [8 per cell]
Ba2 0.214 0.181 0.721 [8 per cell]
Br1 0.000 0.441 0.250 [4 per cell]
N1 0.000 0.118 0.750 [4 per cell]

## Properties
The calculation puts the density of states at the Fermi level at 0.754 states/eV/atom. The uncorrected formation energy is -413 kJ/mol of formula units. For the spin magnetization, the calculation gives 0.09 μB/atom.

---

No. 8
## BaBr3N (PBE)

Data for crystalline BaBr3N at its relaxed geometry.

a = 6.444 Å, b = 6.444 Å, c = 6.444 Å
α = 90.00°, β = 90.00°, γ = 90.00°
Space group Pm-3m (No. 221)
Inequivalent atoms, fractional coordinates:
Ba1 0.000 0.000 0.000 [1 per cell]
Br1 0.000 0.000 0.500 [3 per cell]
N1 0.500 0.500 0.500 [1 per cell]

## Properties
The calculation puts the density of states at the Fermi level at 1.726 states/eV/atom. For the excess energy over the best structure of this formula in the dataset, the calculation gives 0.3272 eV/atom. The uncorrected formation energy is -2 kJ/mol of formula units. For the spin magnetization, the calculation gives 0.80 μB/atom.

---

No. 9
## BaBr2N (PBE)

Data for crystalline BaBr2N at its relaxed geometry.

a = 7.833 Å, b = 7.833 Å, c = 7.833 Å
α = 90.00°, β = 90.00°, γ = 90.00°
Space group Fm-3m (No. 225)
Inequivalent atoms, fractional coordinates:
Ba1 0.000 0.000 0.000 [4 per cell]
Br1 0.250 0.250 0.250 [8 per cell]
N1 0.000 0.000 0.500 [4 per cell]

## Properties
The calculation puts the density of states at the Fermi level at 0.000 states/eV/atom. For the excess energy over the best structure of this formula in the dataset, the calculation gives 0.0000 eV/atom. The uncorrected formation energy is -147 kJ/mol of formula units. For the spin magnetization, the calculation gives 0.75 μB/atom.

---

No. 10
## Ba2BrN (PBE)

Data for crystalline Ba2BrN at its relaxed geometry.

a = 4.1906 Å, b = 4.1906 Å, c = 23.9165 Å
α = 90.00°, β = 90.00°, γ = 120.00°
Space group R-3m (No. 166, hexagonal axes)
Inequivalent atoms, fractional coordinates:
Ba1 0.0000 0.0000 0.2284 [6 per cell]
Br1 0.0000 0.0000 0.0000 [3 per cell]
N1 0.0000 0.0000 0.5000 [3 per cell]

## Properties
The uncorrected formation energy is -455 kJ/mol of formula units. For the spin magnetization, the calculation gives 0.00 μB/atom.

---

No. 11
## Ba5Br5N (PBE)

Data for crystalline Ba5Br5N at its relaxed geometry.

a = 14.443 Å, b = 6.500 Å, c = 9.187 Å
α = 90.00°, β = 109.31°, γ = 90.00°
Space group C2/m (No. 12)
Inequivalent atoms, fractional coordinates:
Ba1 0.000 0.000 0.000 [2 per cell]
Ba2 0.142 0.500 0.284 [4 per cell]
Ba3 0.146 0.500 0.862 [4 per cell]
Br1 0.000 0.500 0.500 [2 per cell]
Br2 0.159 0.000 0.816 [4 per cell]
Br3 0.180 0.000 0.336 [4 per cell]
N1 0.000 0.500 0.000 [2 per cell]

## Properties
The calculation puts the density of states at the Fermi level at 0.490 states/eV/atom. The uncorrected formation energy is -1645 kJ/mol of formula units. For the spin magnetization, the calculation gives 0.00 μB/atom.

---

No. 12
## Ba8Br3N4 (PBE)

Data for crystalline Ba8Br3N4 at its relaxed geometry.

a = 12.404 Å, b = 12.477 Å, c = 8.596 Å
α = 90.00°, β = 133.03°, γ = 90.00°
Space group C2/m (No. 12)
Inequivalent atoms, fractional coordinates:
Ba1 0.000 0.228 0.000 [4 per cell]
Ba2 0.000 0.230 0.500 [4 per cell]
Ba3 0.186 0.000 0.929 [4 per cell]
Ba4 0.231 0.000 0.472 [4 per cell]
Br1 0.000 0.500 0.000 [2 per cell]
Br2 0.250 0.250 0.000 [4 per cell]
N1 0.000 0.000 0.000 [2 per cell]
N2 0.000 0.000 0.500 [2 per cell]
N3 0.250 0.250 0.500 [4 per cell]

## Properties
The calculation puts the density of states at the Fermi level at 0.274 states/eV/atom. The uncorrected formation energy is -1100 kJ/mol of formula units. For the spin magnetization, the calculation gives 0.06 μB/atom.

---

No. 13
## Ba4Br3N2 (PBE)

Data for crystalline Ba4Br3N2 at its relaxed geometry.

a = 15.156 Å, b = 11.328 Å, c = 7.085 Å
α = 90.00°, β = 90.04°, γ = 90.00°
Space group C2/c (No. 15)
Inequivalent atoms, fractional coordinates:
Ba1 0.127 0.185 0.022 [8 per cell]
Ba2 0.172 0.425 0.576 [8 per cell]
Br1 0.000 0.408 0.250 [4 per cell]
Br2 0.111 0.133 0.524 [8 per cell]
N1 0.211 0.375 0.924 [8 per cell]

## Properties
The calculation puts the density of states at the Fermi level at 0.204 states/eV/atom. For the excess energy over the best structure of this formula in the dataset, the calculation gives 0.0000 eV/atom. The uncorrected formation energy is -1110 kJ/mol of formula units. For the spin magnetization, the calculation gives 0.11 μB/atom.

---

No. 14
## Ba2BrN (PBE)

Data for crystalline Ba2BrN at its relaxed geometry.

a = 4.1534 Å, b = 4.1534 Å, c = 24.1146 Å
α = 90.00°, β = 90.00°, γ = 120.00°
Space group R3m (No. 160, hexagonal axes)
Inequivalent atoms, fractional coordinates:
Ba1 0.0000 0.0000 0.0000 [3 per cell]
Ba2 0.0000 0.0000 0.2099 [3 per cell]
Br1 0.0000 0.0000 0.7716 [3 per cell]
N1 0.0000 0.0000 0.6045 [3 per cell]

## Properties
The uncorrected formation energy is -454 kJ/mol of formula units. For the spin magnetization, the calculation gives 0.01 μB/atom.

---

No. 15
## Ba5Br5N2 (PBE)

Data for crystalline Ba5Br5N2 at its relaxed geometry.

a = 15.251 Å, b = 4.425 Å, c = 12.320 Å
α = 90.00°, β = 103.37°, γ = 90.00°
Space group C2/m (No. 12)
Inequivalent atoms, fractional coordinates:
Ba1 0.000 0.000 0.000 [2 per cell]
Ba2 0.101 0.000 0.355 [4 per cell]
Ba3 0.139 0.500 0.800 [4 per cell]
Br1 0.000 0.500 0.500 [2 per cell]
Br2 0.165 0.500 0.076 [4 per cell]
Br3 0.234 0.000 0.629 [4 per cell]
N1 0.037 0.000 0.805 [4 per cell]

## Properties
The uncorrected formation energy is -1726 kJ/mol of formula units. For the spin magnetization, the calculation gives 0.08 μB/atom.

---

No. 16
## BaBr2N (PBE)

Data for crystalline BaBr2N at its relaxed geometry.

a = 14.867 Å, b = 5.075 Å, c = 8.738 Å
α = 90.00°, β = 93.68°, γ = 90.00°
Space group C2/m (No. 12)
Inequivalent atoms, fractional coordinates:
Ba1 0.227 0.000 0.255 [4 per cell]
Br1 0.142 0.500 0.430 [4 per cell]
Br2 0.160 0.000 0.886 [4 per cell]
N1 0.026 0.000 0.207 [4 per cell]

## Properties
The calculation puts the density of states at the Fermi level at 0.000 states/eV/atom. For the excess energy over the best structure of this formula in the dataset, the calculation gives 0.0494 eV/atom. The uncorrected formation energy is -128 kJ/mol of formula units. For the spin magnetization, the calculation gives 0.75 μB/atom.

---

No. 17
## Ba4Br2N (PBE)

Data for crystalline Ba4Br2N at its relaxed geometry.

a = 5.855 Å, b = 5.855 Å, c = 15.651 Å
α = 90.00°, β = 90.00°, γ = 90.00°
Space group I4/mmm (No. 139)
Inequivalent atoms, fractional coordinates:
Ba1 0.000 0.000 0.177 [4 per cell]
Ba2 0.000 0.500 0.000 [4 per cell]
Br1 0.000 0.000 0.389 [4 per cell]
N1 0.000 0.000 0.000 [2 per cell]

## Properties
The calculation puts the density of states at the Fermi level at 0.629 states/eV/atom. The uncorrected formation energy is -655 kJ/mol of formula units. For the spin magnetization, the calculation gives 0.00 μB/atom.

---

No. 18
## Ba4Br5N (PBE)

Data for crystalline Ba4Br5N at its relaxed geometry.

a = 20.018 Å, b = 4.598 Å, c = 8.950 Å
α = 90.00°, β = 106.61°, γ = 90.00°
Space group C2/m (No. 12)
Inequivalent atoms, fractional coordinates:
Ba1 0.002 0.000 0.279 [4 per cell]
Ba2 0.150 0.500 0.603 [4 per cell]
Br1 0.000 0.500 0.000 [2 per cell]
Br2 0.165 0.000 0.857 [4 per cell]
Br3 0.171 0.000 0.360 [4 per cell]
N1 0.000 0.500 0.500 [2 per cell]

## Properties
The uncorrected formation energy is -1642 kJ/mol of formula units. For the spin magnetization, the calculation gives 0.01 μB/atom.

---

No. 19
## BaBr3N (PBE)

Data for crystalline BaBr3N at its relaxed geometry.

a = 4.997 Å, b = 4.997 Å, c = 4.997 Å
α = 90.00°, β = 90.00°, γ = 90.00°
Space group Pm-3m (No. 221)
Inequivalent atoms, fractional coordinates:
Ba1 0.000 0.000 0.000 [1 per cell]
Br1 0.000 0.500 0.500 [3 per cell]
N1 0.500 0.500 0.500 [1 per cell]

## Properties
The calculation puts the density of states at the Fermi level at 0.231 states/eV/atom. For the excess energy over the best structure of this formula in the dataset, the calculation gives 0.0000 eV/atom. The uncorrected formation energy is -160 kJ/mol of formula units. For the spin magnetization, the calculation gives 0.00 μB/atom.

---

No. 20
## Ba12Br3N5 (PBE)

Data for crystalline Ba12Br3N5 at its relaxed geometry.

a = 17.968 Å, b = 17.968 Å, c = 17.968 Å
α = 90.00°, β = 90.00°, γ = 90.00°
Space group Ia-3d (No. 230)
Inequivalent atoms, fractional coordinates:
Ba1 0.034 0.048 0.649 [96 per cell]
Br1 0.000 0.250 0.125 [24 per cell]
N1 0.000 0.000 0.000 [16 per cell]
N2 0.000 0.250 0.375 [24 per cell]

## Properties
The calculation puts the density of states at the Fermi level at 0.732 states/eV/atom. The uncorrected formation energy is -1186 kJ/mol of formula units. For the spin magnetization, the calculation gives 0.13 μB/atom.